(1)
VASP calculation (PBE-GGA) on a relaxed CaCr3P crystal.

Properties
Polymorph energy (0 for the lowest one) = 0 meV per atom
Formation energy = 0.38 eV per atom

a b c (Å): 4.4557 4.4557 4.4557
angles (deg): 90.00 90.00 90.00
Space group Pm-3m (No. 221)
Unique sites:
1 Ca 0.0000 0.0000 0.0000
2 Cr 0.0000 0.5000 0.5000
3 P 0.5000 0.5000 0.5000

***

(2)
VASP calculation (PBE-GGA) on a relaxed Ca2CrP crystal.

Properties
Formation energy = 0.22 eV per atom

a b c (Å): 6.9259 6.9259 6.9259
angles (deg): 90.00 90.00 90.00
Space group F-43m (No. 216)
Unique sites:
1 Ca 0.0000 0.0000 0.0000
2 Ca 0.2500 0.2500 0.2500
3 Cr 0.0000 0.0000 0.5000
4 P 0.2500 0.2500 0.7500

***

(3)
VASP calculation (PBE-GGA) on a relaxed CaCrP crystal.

Properties
Formation energy = -0.43 eV per atom

a b c (Å): 3.4993 4.0834 9.5446
angles (deg): 81.03 89.85 65.45
Space group P-1 (No. 2)
Unique sites:
1 Ca 0.1921 0.1327 0.1803
2 Cr 0.3663 0.7770 0.5358
3 P 0.0862 0.3211 0.6356